# 1
VASP calculation (PBE) on a relaxed structure of Mo3Ru.

## Properties
ΔH_f (0 K), eV/atom: 0.130
Symmetry: P4/mmm (123)
D(E_F), states/eV/atom: 0.958
Energy, eV/atom: -10.312
Mass density, g cm⁻³: 10.4

abc: 3.135 3.135 6.302
angles: 90.00 90.00 90.00
Atoms (fractional coordinates):
Mo  0.000  0.000  0.007
Mo  0.000  0.000  0.493
Mo  0.500  0.500  0.250
Ru  0.500  0.500  0.750


# 2
VASP calculation (PBE) on a relaxed structure of KAl2Ni.

## Properties
ΔH_f (0 K), eV/atom: 0.015
Energy above the most stable polymorph in this dataset, meV/atom: 139
Symmetry: Pm (6)
D(E_F), states/eV/atom: 0.598
Energy, eV/atom: -3.576
Mass density, g cm⁻³: 2.8

abc: 4.023 2.831 7.817
angles: 89.95 90.00 90.00
Atoms (fractional coordinates):
Ni  0.500  0.626  0.910
K  0.000  0.622  0.506
Al  0.000  0.126  0.916
Al  0.500  0.125  0.168


# 3
VASP calculation (PBE) on a relaxed structure of Pr3CoHg.

## Properties
ΔH_f (0 K), eV/atom: -0.077
Energy above the most stable polymorph in this dataset, meV/atom: 117
Symmetry: Pm-3m (221)
D(E_F), states/eV/atom: 0.852
Energy, eV/atom: -4.426
Mass density, g cm⁻³: 7.5

abc: 5.319 5.319 5.319
angles: 90.00 90.00 90.00
Atoms (fractional coordinates):
Pr  0.000  0.500  0.000
Pr  0.000  0.000  0.500
Pr  0.500  0.000  0.000
Co  0.000  0.000  0.000
Hg  0.500  0.500  0.500